The following is a DFT calculation (PBE) of a geometry-optimized TlIn2C structure.

Formation energy from the elements (meV/atom): 732
Magnetization (μB/f.u.): 0.0
SG: I-42d, No. 122

Cell and atoms, written as POSCAR:
```
TlIn2C
1.0
6.504 0.000 0.000
0.000 6.504 0.000
3.252 3.252 4.783
In Tl C
4 2 2
Direct
0.875 0.764 0.750
0.236 0.625 0.250
0.375 0.486 0.750
0.514 0.125 0.250
0.750 0.250 0.500
0.000 0.000 0.000
0.250 0.750 0.500
0.500 0.500 0.000
```